VASP calculation (PBE with a Hubbard U) on a geometry-optimized CsMo2RuO8 structure.

Geometry as POSCAR:
```
CsMo2RuO8
1.0
5.808 0.000 0.000
-2.904 5.030 0.000
0.000 0.000 8.280
Cs Mo Ru O
1 2 1 8
Direct
0.000 0.000 0.000 Cs
0.333 0.667 0.708 Mo
0.667 0.333 0.292 Mo
0.000 0.000 0.500 Ru
0.156 0.323 0.640 O
0.168 0.844 0.640 O
0.323 0.168 0.360 O
0.333 0.667 0.920 O
0.667 0.333 0.080 O
0.677 0.832 0.640 O
0.832 0.156 0.360 O
0.844 0.677 0.360 O
```

Output
raw total energy: -82.123 eV/cell